# NaReO2, relaxed, DFT PBEsol
data_NaReO2
_cell_length_a 3.003
_cell_length_b 3.003
_cell_length_c 6.764
_cell_angle_alpha 77.17
_cell_angle_beta 77.17
_cell_angle_gamma 60.00
_space_group_name_H-M_alt 'P 1'
_space_group_IT_number 1
loop_
_space_group_symop_operation_xyz
'x,y,z'
loop_
_atom_site_label
_atom_site_fract_x
_atom_site_fract_y
_atom_site_fract_z
O1 0.091 0.091 0.728
O2 0.909 0.909 0.272
Na1 0.500 0.500 0.500
Re1 0.000 0.000 0.000
# formation energy from raw total energies	-1.19	eV per atom
# size of the total moment	0.00	μB per formula unit
# symmetry	R-3m (166)
# crystal system	trigonal